Entry 1:
A plane-wave DFT calculation with PBE-GGA was carried out for a relaxed structure of LiPm3Pr3Te8.

Unit cell a=8.9475 b=8.9472 c=8.9604 alpha=119.95 beta=90.00 gamma=120.00
Fractional positions:
Li 0.0000 0.0000 0.5000
Pm 0.5000 0.0000 0.5000
Pm 0.5000 0.5000 0.5000
Pm 0.0000 0.5000 0.5000
Pr 0.0000 0.0000 0.0000
Pr 0.0000 0.5000 0.0000
Pr 0.5000 0.5000 0.0000
Te 0.2515 0.5030 0.2546
Te 0.7485 0.4970 0.7454
Te 0.7533 0.5067 0.2564
Te 0.2467 0.4933 0.7436
Te 0.7533 0.0031 0.2564
Te 0.2467 0.9969 0.7436
Te 0.2498 0.0031 0.2564
Te 0.7502 0.9969 0.7436

Summary:
As for the density of states at the Fermi level: 0.2905 states/eV/atom. As for the crystal system: trigonal. The calculation puts the total moment at 0.00 μB per cell. As for the space group: R-3m (166). The calculation puts the electronic total energy at -5.109 eV per atom.

Entry 2:
A plane-wave DFT calculation with PBE-GGA was carried out for a relaxed structure of Pu2Cu5Au12.

Unit cell a=7.1313 b=7.1313 c=7.1313 alpha=81.61 beta=81.61 gamma=81.61
Last column: magnetic moment on the atom in μB.
Fractional positions:
Pu 0.6600 0.6600 0.6600  5.39
Pu 0.3400 0.3400 0.3400  5.39
Cu 0.0000 0.0000 0.5000  0.00
Cu 0.0000 0.5000 0.0000  0.00
Cu 0.5000 0.0000 0.0000  0.00
Cu 0.9060 0.9060 0.9060  -0.01
Cu 0.0940 0.0940 0.0940  -0.01
Au 0.3027 0.6973 0.0000  0.00
Au 0.6973 0.0000 0.3027  0.00
Au 0.0000 0.3027 0.6973  0.00
Au 0.6973 0.3027 0.0000  0.00
Au 0.3027 0.0000 0.6973  0.00
Au 0.0000 0.6973 0.3027  0.00
Au 0.3370 0.3370 0.8665  0.00
Au 0.3370 0.8665 0.3370  0.00
Au 0.8665 0.3370 0.3370  0.00
Au 0.6630 0.1335 0.6630  0.00
Au 0.6630 0.6630 0.1335  0.00
Au 0.1335 0.6630 0.6630  0.00

Summary:
As for the density of states at the Fermi level: 2.2174 states/eV/atom. As for the crystal system: trigonal. The calculation puts the total moment at 11.19 μB per cell. As for the space group: R-3m (166). The calculation puts the electronic total energy at -4.797 eV per atom.

Entry 3:
A plane-wave DFT calculation with PBE-GGA was carried out for a relaxed structure of CuSn2Pd.

Unit cell a=7.1610 b=7.1610 c=6.0749 alpha=53.89 beta=53.89 gamma=90.00
Fractional positions:
Cu 0.5000 0.5000 0.0000
Cu 0.2500 0.7500 0.5000
Sn 0.6173 0.1250 0.2500
Sn 0.1327 0.6250 0.2500
Sn 0.3750 0.3827 0.7500
Sn 0.8750 0.8673 0.7500
Pd 0.0000 0.0000 0.0000
Pd 0.7500 0.2500 0.5000

Summary:
As for the density of states at the Fermi level: 0.4563 states/eV/atom. As for the crystal system: tetragonal. The calculation puts the total moment at 0.00 μB per cell. As for the space group: I-42d (122). The calculation puts the electronic total energy at -4.260 eV per atom.

Entry 4:
A plane-wave DFT calculation with PBE-GGA was carried out for a relaxed structure of PrGaSn.

Unit cell a=4.5323 b=4.4882 c=4.4882 alpha=120.00 beta=90.00 gamma=90.00
Fractional positions:
Pr 0.6956 0.6667 0.3333
Sn 0.2512 0.3333 0.6667
Ga 0.0532 0.0000 0.0000

Summary:
As for the density of states at the Fermi level: 0.1337 states/eV/atom. As for the crystal system: trigonal. The calculation puts the total moment at 0.00 μB per cell. As for the space group: P3m1 (156). The calculation puts the electronic total energy at -4.588 eV per atom.